Entry 1:
Material: Ca2CdPd6
Method: DFT, GGA-PBE
State: optimized geometry Values from VASP.

Quantum ESPRESSO input file:
```
&SYSTEM
  ibrav = 0, nat = 9, ntyp = 3
/
ATOMIC_SPECIES
Ca 40.08 Ca.upf
Cd 112.41 Cd.upf
Pd 106.42 Pd.upf
ATOMIC_POSITIONS crystal
Ca 0.669 0.672 0.343
Ca 0.331 0.328 0.657
Cd 0.000 0.000 0.000
Pd 0.160 0.441 0.321
Pd 0.840 0.120 0.679
Pd 0.840 0.559 0.679
Pd 0.500 0.196 0.000
Pd 0.160 0.880 0.321
Pd 0.500 0.804 0.000
CELL_PARAMETERS angstrom
-2.237 -2.732 2.873
-4.210 -3.490 -6.597
6.449 0.001 1.449
```

Values from the calculation:
For the total magnetic moment, the calculation gives 0.00 μB/f.u. The formation energy is -349 meV per atom. The calculation puts the density of states at the Fermi level at 4.0 states/eV/f.u.

Entry 2:
Material: Ti3Cu2Ni4
Method: DFT, GGA-PBE
State: optimized geometry Values from VASP.

Quantum ESPRESSO input file:
```
&SYSTEM
  ibrav = 0, nat = 18, ntyp = 3
/
ATOMIC_SPECIES
Ti 47.87 Ti.upf
Cu 63.55 Cu.upf
Ni 58.69 Ni.upf
ATOMIC_POSITIONS crystal
Ti 0.085 0.954 0.713
Ti 0.415 0.287 0.046
Ti 0.915 0.046 0.287
Ti 0.585 0.713 0.954
Ti 0.250 0.363 0.637
Ti 0.750 0.637 0.363
Cu 0.201 0.734 0.489
Cu 0.299 0.511 0.266
Cu 0.799 0.266 0.511
Cu 0.701 0.489 0.734
Ni 0.532 0.067 0.821
Ni 0.968 0.179 0.933
Ni 0.468 0.933 0.179
Ni 0.032 0.821 0.067
Ni 0.644 0.849 0.591
Ni 0.856 0.409 0.151
Ni 0.356 0.151 0.409
Ni 0.144 0.591 0.849
CELL_PARAMETERS angstrom
4.445 0.096 0.413
0.584 6.957 2.497
0.286 -0.340 7.401
```

Values from the calculation:
For the total magnetic moment, the calculation gives 0.00 μB/f.u. The formation energy is -291 meV per atom. The calculation puts the density of states at the Fermi level at 6.0 states/eV/f.u.

Entry 3:
Material: Al3CoNi2
Method: DFT, GGA-PBE
State: optimized geometry Values from VASP.

Quantum ESPRESSO input file:
```
&SYSTEM
  ibrav = 0, nat = 6, ntyp = 3
/
ATOMIC_SPECIES
Al 26.98 Al.upf
Co 58.93 Co.upf
Ni 58.69 Ni.upf
ATOMIC_POSITIONS crystal
Al 0.000 0.000 0.000
Al 0.000 0.000 0.664
Al 0.000 0.000 0.336
Co 0.500 0.500 0.500
Ni 0.500 0.500 0.832
Ni 0.500 0.500 0.168
CELL_PARAMETERS angstrom
2.870 0.000 0.000
0.000 2.870 0.000
0.000 0.000 8.702
```

Values from the calculation:
For the total magnetic moment, the calculation gives 0.23 μB/f.u. The formation energy is -631 meV per atom. The calculation puts the density of states at the Fermi level at 3.5 states/eV/f.u.

Entry 4:
Material: BaMg2Zr
Method: DFT, GGA-PBE
State: optimized geometry Values from VASP.

Quantum ESPRESSO input file:
```
&SYSTEM
  ibrav = 0, nat = 4, ntyp = 3
/
ATOMIC_SPECIES
Ba 137.33 Ba.upf
Mg 24.30 Mg.upf
Zr 91.22 Zr.upf
ATOMIC_POSITIONS crystal
Ba 0.000 0.500 0.500
Mg 0.000 0.000 0.000
Mg 0.500 0.500 0.000
Zr 0.500 0.000 0.500
CELL_PARAMETERS angstrom
3.789 0.000 0.000
0.000 5.439 0.000
0.000 0.000 5.551
```

Values from the calculation:
For the total magnetic moment, the calculation gives 0.00 μB/f.u. The formation energy is 465 meV per atom. The calculation puts the density of states at the Fermi level at 4.4 states/eV/f.u.

Entry 5:
Material: LaMn3Ga
Method: DFT, GGA-PBE
State: optimized geometry Values from VASP.

Quantum ESPRESSO input file:
```
&SYSTEM
  ibrav = 0, nat = 5, ntyp = 3
/
ATOMIC_SPECIES
Mn 54.94 Mn.upf
Ga 69.72 Ga.upf
La 138.91 La.upf
ATOMIC_POSITIONS crystal
Mn 0.000 0.500 0.000
Mn 0.000 0.000 0.500
Mn 0.500 0.000 0.000
Ga 0.500 0.500 0.500
La 0.000 0.000 0.000
CELL_PARAMETERS angstrom
-1.040 -1.129 -4.498
-2.773 -3.544 1.530
-3.717 2.959 0.117
```

Values from the calculation:
For the total magnetic moment, the calculation gives 8.52 μB/f.u. The formation energy is 1563 meV per atom. The calculation puts the density of states at the Fermi level at 4.7 states/eV/f.u.

Entry 6:
Material: Mg3InPt4
Method: DFT, GGA-PBE
State: optimized geometry Values from VASP.

Quantum ESPRESSO input file:
```
&SYSTEM
  ibrav = 0, nat = 8, ntyp = 3
/
ATOMIC_SPECIES
Mg 24.30 Mg.upf
Pt 195.08 Pt.upf
In 114.82 In.upf
ATOMIC_POSITIONS crystal
Mg 0.000 0.500 0.000
Mg 0.751 0.251 0.501
Mg 0.249 0.749 0.499
Pt 0.372 0.372 0.744
Pt 0.628 0.628 0.256
Pt 0.128 0.128 0.256
Pt 0.872 0.872 0.744
In 0.500 0.000 0.000
CELL_PARAMETERS angstrom
-0.574 4.203 0.010
-1.960 -0.258 -3.752
-5.117 -2.852 5.265
```

Values from the calculation:
For the total magnetic moment, the calculation gives 0.00 μB/f.u. The formation energy is -786 meV per atom. The calculation puts the density of states at the Fermi level at 2.3 states/eV/f.u.

Entry 7:
Material: Hf2TiAu
Method: DFT, GGA-PBE
State: optimized geometry Values from VASP.

Quantum ESPRESSO input file:
```
&SYSTEM
  ibrav = 0, nat = 4, ntyp = 3
/
ATOMIC_SPECIES
Hf 178.49 Hf.upf
Au 196.97 Au.upf
Ti 47.87 Ti.upf
ATOMIC_POSITIONS crystal
Hf 0.250 0.250 0.250
Hf 0.750 0.750 0.750
Au 0.500 0.500 0.500
Ti 0.000 0.000 0.000
CELL_PARAMETERS angstrom
-3.226 -1.954 2.954
-1.649 2.501 3.739
-4.516 1.598 0.009
```

Values from the calculation:
For the total magnetic moment, the calculation gives 1.68 μB/f.u. The formation energy is -107 meV per atom. The calculation puts the density of states at the Fermi level at 5.7 states/eV/f.u.

Entry 8:
Material: CeAlPdRh
Method: DFT, GGA-PBE
State: optimized geometry Values from VASP.

Quantum ESPRESSO input file:
```
&SYSTEM
  ibrav = 0, nat = 4, ntyp = 4
/
ATOMIC_SPECIES
Rh 102.91 Rh.upf
Pd 106.42 Pd.upf
Ce 140.12 Ce.upf
Al 26.98 Al.upf
ATOMIC_POSITIONS crystal
Rh 0.750 0.750 0.750
Pd 0.250 0.250 0.250
Ce 0.500 0.500 0.500
Al 0.000 0.000 0.000
CELL_PARAMETERS angstrom
-2.340 -0.393 4.072
-3.834 -2.728 0.261
0.144 -4.042 2.420
```

Values from the calculation:
For the total magnetic moment, the calculation gives 0.35 μB/f.u. The formation energy is -686 meV per atom. The calculation puts the density of states at the Fermi level at 5.6 states/eV/f.u.

Entry 9:
Material: Tm4AgPd
Method: DFT, GGA-PBE
State: optimized geometry Values from VASP.

Quantum ESPRESSO input file:
```
&SYSTEM
  ibrav = 0, nat = 24, ntyp = 3
/
ATOMIC_SPECIES
Tm 168.93 Tm.upf
Ag 107.87 Ag.upf
Pd 106.42 Pd.upf
ATOMIC_POSITIONS crystal
Tm 0.391 0.391 0.391
Tm 0.827 0.391 0.391
Tm 0.391 0.827 0.391
Tm 0.391 0.391 0.827
Tm 0.562 0.562 0.938
Tm 0.938 0.938 0.562
Tm 0.562 0.938 0.562
Tm 0.938 0.562 0.938
Tm 0.938 0.562 0.562
Tm 0.562 0.938 0.938
Tm 0.184 0.184 0.816
Tm 0.816 0.816 0.184
Tm 0.184 0.816 0.184
Tm 0.816 0.184 0.816
Tm 0.816 0.184 0.184
Tm 0.184 0.816 0.816
Ag 0.166 0.166 0.166
Ag 0.503 0.166 0.166
Ag 0.166 0.503 0.166
Ag 0.166 0.166 0.503
Pd 0.603 0.603 0.603
Pd 0.191 0.603 0.603
Pd 0.603 0.191 0.603
Pd 0.603 0.603 0.191
CELL_PARAMETERS angstrom
0.385 1.209 9.362
8.096 2.638 4.094
0.857 8.689 3.610
```

Values from the calculation:
For the total magnetic moment, the calculation gives 0.00 μB/f.u. The formation energy is -457 meV per atom. The calculation puts the density of states at the Fermi level at 5.8 states/eV/f.u.

Entry 10:
Material: NaCaScCl6
Method: DFT, GGA-PBE
State: optimized geometry Values from VASP.

Quantum ESPRESSO input file:
```
&SYSTEM
  ibrav = 0, nat = 18, ntyp = 4
/
ATOMIC_SPECIES
Na 22.99 Na.upf
Ca 40.08 Ca.upf
Sc 44.96 Sc.upf
Cl 35.45 Cl.upf
ATOMIC_POSITIONS crystal
Na 0.000 0.000 0.000
Na 0.000 0.000 0.500
Ca 0.333 0.667 0.250
Ca 0.667 0.333 0.750
Sc 0.667 0.333 0.250
Sc 0.333 0.667 0.750
Cl 0.658 0.631 0.133
Cl 0.973 0.342 0.133
Cl 0.342 0.973 0.633
Cl 0.027 0.658 0.867
Cl 0.369 0.342 0.367
Cl 0.973 0.631 0.367
Cl 0.631 0.973 0.867
Cl 0.658 0.027 0.367
Cl 0.027 0.369 0.633
Cl 0.369 0.027 0.133
Cl 0.631 0.658 0.633
Cl 0.342 0.369 0.867
CELL_PARAMETERS angstrom
6.808 0.000 0.000
-3.404 5.896 0.000
0.000 0.000 12.305
```

Values from the calculation:
The calculation puts the energy relative to the elements, uncorrected at -2.147 eV/atom. For the total magnetic moment, the calculation gives 0.00 μB/f.u. The calculation puts the density of states at the Fermi level at 0.0 states/eV/f.u.

Entry 11:
Material: Li2Nd2ScIn5
Method: DFT, GGA-PBE
State: optimized geometry Values from VASP.

Quantum ESPRESSO input file:
```
&SYSTEM
  ibrav = 0, nat = 20, ntyp = 4
/
ATOMIC_SPECIES
Li 6.94 Li.upf
Nd 144.24 Nd.upf
Sc 44.96 Sc.upf
In 114.82 In.upf
ATOMIC_POSITIONS crystal
Li 0.000 0.116 0.616
Li 0.000 0.884 0.384
Li 0.000 0.616 0.884
Li 0.000 0.384 0.116
Nd 0.000 0.680 0.180
Nd 0.000 0.320 0.820
Nd 0.000 0.180 0.320
Nd 0.000 0.820 0.680
Sc 0.000 0.000 0.000
Sc 0.000 0.500 0.500
In 0.500 0.206 0.064
In 0.500 0.794 0.936
In 0.500 0.064 0.794
In 0.500 0.706 0.436
In 0.500 0.936 0.206
In 0.500 0.294 0.564
In 0.500 0.564 0.706
In 0.500 0.436 0.294
In 0.500 0.500 0.000
In 0.500 0.000 0.500
CELL_PARAMETERS angstrom
4.483 0.000 0.000
0.000 10.224 0.000
0.000 0.000 10.224
```

Values from the calculation:
For the total magnetic moment, the calculation gives 0.00 μB/f.u. The formation energy is -410 meV per atom. The calculation puts the density of states at the Fermi level at 4.9 states/eV/f.u.

Entry 12:
Material: LuScBeZn
Method: DFT, GGA-PBE
State: optimized geometry Values from VASP.

Quantum ESPRESSO input file:
```
&SYSTEM
  ibrav = 0, nat = 4, ntyp = 4
/
ATOMIC_SPECIES
Sc 44.96 Sc.upf
Be 9.01 Be.upf
Zn 65.41 Zn.upf
Lu 174.97 Lu.upf
ATOMIC_POSITIONS crystal
Sc 0.000 0.000 0.000
Be 0.750 0.750 0.750
Zn 0.250 0.250 0.250
Lu 0.500 0.500 0.500
CELL_PARAMETERS angstrom
4.729 0.000 0.000
2.365 4.096 0.000
2.365 1.365 3.861
```

Values from the calculation:
For the total magnetic moment, the calculation gives 0.00 μB/f.u. The formation energy is -157 meV per atom. The calculation puts the density of states at the Fermi level at 2.8 states/eV/f.u.

Number 1: volume 19.50 Å³/atom. Number 2: volume 12.85 Å³/atom. Number 3: volume 11.94 Å³/atom. Number 4: volume 28.59 Å³/atom. Number 5: volume 21.47 Å³/atom. Number 6: volume 16.38 Å³/atom. Number 7: volume 19.44 Å³/atom. Number 8: volume 18.50 Å³/atom. Number 9: volume 24.85 Å³/atom. Number 10: volume 27.44 Å³/atom. Number 11: volume 23.43 Å³/atom. Number 12: volume 18.70 Å³/atom.